Computed, not measured: a relaxed structure of AlMoPO2 at the PBE+U level of DFT.

The volume comes out at 78.9 Å³ per cell. The value obtained for the magnetization is 1.39 μB per formula unit. The total energy comes out at -29.76 eV for the cell shown.

It has space group P4/mmm (No. 123), with a = 3.849 Å, b = 3.849 Å, c = 5.328 Å, α = 90.00°, β = 90.00° and γ = 90.00°. Symmetry generates all atoms from Al at (0.000, 0.000, 0.000), Mo at (0.500, 0.500, 0.500), P at (0.500, 0.500, 0.000) and O at (0.000, 0.500, 0.500).